No. 1
## Dy2PuTcN4 (GGA-PBE)

Data for a relaxed Dy2PuTcN4 crystal.

The value obtained for the uncorrected formation energy is -8.011 eV/f.u. For the total energy, the calculation gives -75.21 eV/f.u.

a b c (Å): 3.3721 11.5871 11.6412
angles (deg): 90.00 90.00 90.00
Space group Cmcm (No. 63)
One atom of each set of equivalent atoms:
Dy (0.0000, 0.1310, 0.0416) (multiplicity 8)
Pu (0.0000, 0.3854, 0.2500) (multiplicity 4)
Tc (0.0000, 0.3550, 0.7500) (multiplicity 4)
N (0.0000, 0.0438, 0.2500) (multiplicity 4)
N (0.0000, 0.2322, 0.6300) (multiplicity 8)
N (0.0000, 0.5000, 0.0000) (multiplicity 4)

***

No. 2
## Na2SmAl9 (GGA-PBE)

Data for a relaxed Na2SmAl9 crystal.

For the total energy, the calculation gives -42.12 eV/f.u.

a b c (Å): 5.5849 5.5849 26.8627
angles (deg): 90.00 90.00 120.00
Space group R-3m (No. 166, hexagonal axes)
One atom of each set of equivalent atoms:
Na (0.0000, 0.0000, 0.1439) (multiplicity 6)
Sm (0.0000, 0.0000, 0.0000) (multiplicity 3)
Al (0.0000, 0.0000, 0.3345) (multiplicity 6)
Al (0.0000, 0.0000, 0.5000) (multiplicity 3)
Al (0.0046, 0.5023, 0.9178) (multiplicity 18)

***

No. 3
## Zr2Ir (GGA-PBE)

Data for a relaxed Zr2Ir crystal.

For the total energy, the calculation gives -27.67 eV/f.u.

a b c (Å): 7.0436 7.0436 4.3072
angles (deg): 90.00 90.00 120.00
Space group P-62m (No. 189)
One atom of each set of equivalent atoms:
Zr (0.0000, 0.2572, 0.0000) (multiplicity 3)
Zr (0.0000, 0.5827, 0.5000) (multiplicity 3)
Ir (0.0000, 0.0000, 0.5000) (multiplicity 1)
Ir (0.3333, 0.6667, 0.0000) (multiplicity 2)

***

Calculated theoretical density in order - 10.56 3.02 10.09 g/cm³